First-principles (GGA-PBE) data for a relaxed CaBe2Ir crystal, as listed in Alexandria. Values from VASP.

Quantum ESPRESSO input file:
```
&SYSTEM
  ibrav = 0, nat = 4, ntyp = 3
/
ATOMIC_SPECIES
Ca 40.08 Ca.upf
Be 9.01 Be.upf
Ir 192.22 Ir.upf
CELL_PARAMETERS angstrom
3.043 0.000 0.000
0.000 3.043 0.000
0.000 0.000 6.591
ATOMIC_POSITIONS angstrom
Ca 0.000 0.000 0.000
Be 0.000 0.000 3.117
Be 1.522 1.522 4.351
Ir 1.522 1.522 2.157
```

Properties
Fermi-level density of states: 0.4443 states/eV per atom
SG: P4mm
Total magnetic moment: 0.00 Bohr magnetons per cell
ΔH_f (0 K): -1.3 kcal/mol of atoms
DFT total energy: -4.64 eV per atom